A plane-wave DFT calculation with PBEsol was carried out for crystalline SrAl2 at its relaxed geometry.

```
SrAl2
1.0
4.452 0.000 0.000
0.000 4.452 0.000
0.000 0.000 7.742
Sr Al
2 4
Cartesian
1.113 1.113 1.357
3.339 3.339 6.385
1.113 1.113 5.470
1.113 3.339 3.871
3.339 1.113 3.871
3.339 3.339 2.271
```

## Properties
The mass density comes out at 3.1 g cm⁻³. Its formation energy is -0.240 eV/atom. Its symmetry is P4/nmm, No. 129.

---

A plane-wave DFT calculation with PBEsol was carried out for crystalline HOsI2O at its relaxed geometry.

```
HOsI2O
1.0
5.473 0.000 0.000
0.000 5.473 0.000
0.000 0.000 3.688
H Os I O
1 1 2 1
Cartesian
0.000 0.000 0.000
2.736 2.736 1.844
0.000 2.736 1.844
2.736 0.000 1.844
2.736 2.736 0.000
```

## Properties
The mass density comes out at 6.9 g cm⁻³. For the final energy, the calculation gives -4.45 eV per atom. Its symmetry is P4/mmm, No. 123.

---

A plane-wave DFT calculation with PBEsol was carried out for crystalline SrTl2Pb at its relaxed geometry.

```
SrTl2Pb
1.0
11.223 0.000 0.000
0.000 3.891 0.000
-1.569 0.000 5.538
Sr Tl Pb
2 4 2
Cartesian
0.000 0.000 0.000
5.612 1.945 0.000
1.564 0.000 4.055
2.479 1.945 1.483
7.176 1.945 4.055
8.090 0.000 1.483
-0.785 1.945 2.769
4.827 0.000 2.769
```

## Properties
The mass density comes out at 9.7 g cm⁻³. Its formation energy is -0.273 eV/atom. Its symmetry is C2/m, No. 12.

---

A plane-wave DFT calculation with PBEsol was carried out for crystalline Ta2TcRu at its relaxed geometry.

```
Ta2TcRu
1.0
3.171 0.000 0.000
0.000 4.631 0.000
0.000 0.000 8.500
Ta Tc Ru
4 2 2
Cartesian
0.000 0.000 2.116
0.000 0.000 6.384
1.585 2.315 2.116
1.585 2.315 6.384
0.000 2.315 4.250
1.585 0.000 4.250
0.000 2.315 0.000
1.585 0.000 0.000
```

## Properties
The mass density comes out at 14.9 g cm⁻³. Its formation energy is -0.141 eV/atom. Its symmetry is Cmmm, No. 65.

---

A plane-wave DFT calculation with PBEsol was carried out for crystalline NaMg30BiO32 at its relaxed geometry.

```
NaMg30BiO32
1.0
8.534 0.000 0.000
0.000 8.534 0.000
0.000 0.000 8.572
Na Mg Bi O
1 30 1 32
Cartesian
0.000 0.000 0.000
0.000 2.179 2.061
0.000 2.179 6.511
0.000 4.267 0.000
0.000 4.267 4.286
0.000 6.355 2.061
0.000 6.355 6.511
2.129 2.129 0.000
2.137 4.267 2.128
2.137 4.267 6.444
2.129 6.404 0.000
2.179 0.000 2.061
2.179 0.000 6.511
2.190 2.190 4.286
2.190 6.344 4.286
4.267 0.000 0.000
4.267 0.000 4.286
4.267 2.137 2.128
4.267 2.137 6.444
4.267 4.267 0.000
4.267 4.267 4.286
4.267 6.397 2.128
4.267 6.397 6.444
6.344 2.190 4.286
6.344 6.344 4.286
6.355 0.000 2.061
6.355 0.000 6.511
6.404 2.129 0.000
6.397 4.267 2.128
6.397 4.267 6.444
6.404 6.404 0.000
0.000 0.000 4.286
0.000 0.000 2.067
0.000 0.000 6.505
0.000 2.260 0.000
0.000 2.284 4.286
0.000 4.267 2.146
0.000 4.267 6.426
0.000 6.250 4.286
0.000 6.273 0.000
2.128 2.128 2.153
2.128 2.128 6.419
2.128 6.405 2.153
2.128 6.405 6.419
2.157 4.267 0.000
2.158 4.267 4.286
2.260 0.000 0.000
2.284 0.000 4.286
4.267 0.000 2.146
4.267 0.000 6.426
4.267 2.157 0.000
4.267 2.158 4.286
4.267 4.267 2.147
4.267 4.267 6.425
4.267 6.376 0.000
4.267 6.376 4.286
6.250 0.000 4.286
6.273 0.000 0.000
6.376 4.267 0.000
6.376 4.267 4.286
6.405 2.128 2.153
6.405 2.128 6.419
6.405 6.405 2.153
6.405 6.405 6.419
```

## Properties
The value obtained for the uncorrected formation energy is -2.61 eV/atom. The mass density comes out at 3.9 g cm⁻³. Its symmetry is P4/mmm, No. 123.

---

A plane-wave DFT calculation with PBEsol was carried out for crystalline AgAsPt2 at its relaxed geometry.

```
AgAsPt2
1.0
3.035 0.000 0.000
0.000 3.624 0.000
0.000 0.000 5.708
Ag As Pt
1 1 2
Cartesian
0.000 0.000 0.000
0.000 0.000 2.854
1.517 1.812 1.465
1.517 1.812 4.243
```

## Properties
The mass density comes out at 15.2 g cm⁻³. Its formation energy is -0.033 eV/atom. Its symmetry is Pmmm, No. 47.